No. 1
The following is a GGA-PBE calculation of a geometry-optimized CaNd2Ge structure, from Alexandria.

Summary:
N(E_F) = 5.37 states/eV per cell
formation enthalpy at 0 K = -0.277 eV/atom
symmetry = R3m (160)
relative energy among the computed polymorphs = 0.006 eV per atom
size of the total moment = 1.614 μB per formula unit
uncorrected energy = -4.3156 eV/atom

Cell and atoms, written as CIF:
```
data_CaNd2Ge
_symmetry_space_group_name_H-M 'P 1'
_symmetry_Int_Tables_number 1
_symmetry_space_group_name_Hall 'P 1'
_cell_length_a 4.219
_cell_length_b 4.219
_cell_length_c 9.917
_cell_angle_alpha 77.72
_cell_angle_beta 77.72
_cell_angle_gamma 60.00
loop_
_atom_site_label
_atom_site_type_symbol
_atom_site_fract_x
_atom_site_fract_y
_atom_site_fract_z
_atom_site_occupancy
Nd1 Nd 0.057 0.057 0.830 1
Nd2 Nd 0.276 0.276 0.171 1
Ge1 Ge 0.666 0.666 0.002 1
Ca1 Ca 0.501 0.501 0.497 1
```

---

No. 2
The following is a GGA-PBE calculation of a geometry-optimized Ni5Pb3Se12 structure, from Alexandria.

Summary:
N(E_F) = 58.06 states/eV per cell
symmetry = Ia-3d (230)
size of the total moment = 0.000 μB per formula unit
uncorrected energy = -4.2621 eV/atom
raw formation energy = -169.8 meV/atom

Cell and atoms, written as CIF:
```
data_Ni5Pb3Se12
_symmetry_space_group_name_H-M 'P 1'
_symmetry_Int_Tables_number 1
_symmetry_space_group_name_Hall 'P 1'
_cell_length_a 13.396
_cell_length_b 13.396
_cell_length_c 13.396
_cell_angle_alpha 109.47
_cell_angle_beta 109.47
_cell_angle_gamma 109.47
loop_
_atom_site_label
_atom_site_type_symbol
_atom_site_fract_x
_atom_site_fract_y
_atom_site_fract_z
_atom_site_occupancy
Se1 Se 0.305 0.419 0.821 1
Se2 Se 0.321 0.516 0.402 1
Se3 Se 0.115 0.419 0.098 1
Se4 Se 0.984 0.598 0.179 1
Se5 Se 0.385 0.984 0.805 1
Se6 Se 0.695 0.581 0.179 1
Se7 Se 0.402 0.016 0.321 1
Se8 Se 0.598 0.984 0.679 1
Se9 Se 0.516 0.195 0.115 1
Se10 Se 0.098 0.179 0.484 1
Se11 Se 0.098 0.919 0.115 1
Se12 Se 0.581 0.885 0.402 1
Se13 Se 0.516 0.321 0.902 1
Se14 Se 0.419 0.305 0.321 1
Se15 Se 0.805 0.484 0.385 1
Se16 Se 0.919 0.821 0.805 1
Se17 Se 0.821 0.919 0.305 1
Se18 Se 0.598 0.615 0.419 1
Se19 Se 0.179 0.081 0.695 1
Se20 Se 0.805 0.321 0.919 1
Se21 Se 0.385 0.402 0.081 1
Se22 Se 0.419 0.115 0.598 1
Se23 Se 0.484 0.679 0.098 1
Se24 Se 0.885 0.581 0.902 1
Se25 Se 0.305 0.885 0.984 1
Se26 Se 0.885 0.305 0.484 1
Se27 Se 0.115 0.695 0.516 1
Se28 Se 0.321 0.805 0.419 1
Se29 Se 0.902 0.081 0.885 1
Se30 Se 0.902 0.821 0.516 1
Se31 Se 0.016 0.615 0.695 1
Se32 Se 0.581 0.695 0.679 1
Se33 Se 0.081 0.902 0.385 1
Se34 Se 0.984 0.385 0.305 1
Se35 Se 0.695 0.115 0.016 1
Se36 Se 0.615 0.016 0.195 1
Se37 Se 0.679 0.484 0.598 1
Se38 Se 0.195 0.679 0.081 1
Se39 Se 0.195 0.516 0.615 1
Se40 Se 0.919 0.098 0.615 1
Se41 Se 0.821 0.902 0.016 1
Se42 Se 0.679 0.195 0.581 1
Se43 Se 0.081 0.179 0.195 1
Se44 Se 0.179 0.098 0.984 1
Se45 Se 0.016 0.402 0.821 1
Se46 Se 0.484 0.805 0.885 1
Se47 Se 0.615 0.598 0.919 1
Se48 Se 0.402 0.385 0.581 1
Ni1 Ni 0.500 0.000 0.500 1
Ni2 Ni 0.375 0.125 0.750 1
Ni3 Ni 0.500 0.500 0.500 1
Ni4 Ni 0.875 0.625 0.750 1
Ni5 Ni 0.500 0.000 0.000 1
Ni6 Ni 0.875 0.250 0.625 1
Ni7 Ni 0.750 0.125 0.875 1
Ni8 Ni 0.125 0.375 0.250 1
Ni9 Ni 0.125 0.750 0.375 1
Ni10 Ni 0.250 0.375 0.625 1
Ni11 Ni 0.375 0.250 0.125 1
Ni12 Ni 0.625 0.875 0.250 1
Ni13 Ni 0.500 0.500 0.000 1
Ni14 Ni 0.250 0.875 0.125 1
Ni15 Ni 0.000 0.000 0.500 1
Ni16 Ni 0.625 0.750 0.875 1
Ni17 Ni 0.000 0.500 0.500 1
Ni18 Ni 0.000 0.500 0.000 1
Ni19 Ni 0.750 0.625 0.375 1
Ni20 Ni 0.000 0.000 0.000 1
Pb1 Pb 0.250 0.125 0.375 1
Pb2 Pb 0.250 0.625 0.875 1
Pb3 Pb 0.875 0.750 0.125 1
Pb4 Pb 0.625 0.375 0.750 1
Pb5 Pb 0.750 0.375 0.125 1
Pb6 Pb 0.125 0.875 0.750 1
Pb7 Pb 0.875 0.125 0.250 1
Pb8 Pb 0.125 0.250 0.875 1
Pb9 Pb 0.375 0.750 0.625 1
Pb10 Pb 0.625 0.250 0.375 1
Pb11 Pb 0.750 0.875 0.625 1
Pb12 Pb 0.375 0.625 0.250 1
```

---

No. 3
The following is a GGA-PBE calculation of a geometry-optimized TaCoSb2 structure, from Alexandria.

Summary:
N(E_F) = 4.01 states/eV per cell
symmetry = P4/mmm (123)
size of the total moment = 1.184 μB per formula unit
uncorrected energy = -6.5247 eV/atom
raw formation energy = 276.1 meV/atom

Cell and atoms, written as CIF:
```
data_TaCoSb2
_symmetry_space_group_name_H-M 'P 1'
_symmetry_Int_Tables_number 1
_symmetry_space_group_name_Hall 'P 1'
_cell_length_a 3.437
_cell_length_b 3.441
_cell_length_c 6.241
_cell_angle_alpha 90.00
_cell_angle_beta 90.00
_cell_angle_gamma 90.00
loop_
_atom_site_label
_atom_site_type_symbol
_atom_site_fract_x
_atom_site_fract_y
_atom_site_fract_z
_atom_site_occupancy
Sb1 Sb 0.000 0.000 0.509 1
Sb2 Sb 0.000 0.000 0.991 1
Co1 Co 0.500 0.500 0.750 1
Ta1 Ta 0.500 0.500 0.250 1
```

---

No. 4
The following is a GGA-PBE calculation of a geometry-optimized Pr6Ir2Br3Cl structure, from Alexandria.

Summary:
N(E_F) = 8.80 states/eV per cell
symmetry = C2/m (12)
size of the total moment = 0.000 μB per formula unit
uncorrected energy = -5.6115 eV/atom
raw formation energy = -1172.9 meV/atom

Cell and atoms, written as CIF:
```
data_Pr6Ir2Br3Cl
_symmetry_space_group_name_H-M 'P 1'
_symmetry_Int_Tables_number 1
_symmetry_space_group_name_Hall 'P 1'
_cell_length_a 7.456
_cell_length_b 7.456
_cell_length_c 8.030
_cell_angle_alpha 98.85
_cell_angle_beta 98.85
_cell_angle_gamma 119.93
loop_
_atom_site_label
_atom_site_type_symbol
_atom_site_fract_x
_atom_site_fract_y
_atom_site_fract_z
_atom_site_occupancy
Pr1 Pr 0.567 0.932 0.797 1
Pr2 Pr 0.068 0.433 0.203 1
Pr3 Pr 0.433 0.068 0.203 1
Pr4 Pr 0.298 0.298 0.800 1
Pr5 Pr 0.702 0.702 0.200 1
Pr6 Pr 0.932 0.567 0.797 1
Br1 Br 0.500 0.500 0.500 1
Br2 Br 0.160 0.840 0.500 1
Br3 Br 0.840 0.160 0.500 1
Ir1 Ir 0.333 0.667 0.000 1
Ir2 Ir 0.667 0.333 0.000 1
Cl1 Cl 0.000 0.000 0.000 1
```

---

No. 5
The following is a GGA-PBE calculation of a geometry-optimized Ho2Zn16Ru structure, from Alexandria.

Summary:
N(E_F) = 7.25 states/eV per cell
formation enthalpy at 0 K = -0.214 eV/atom
symmetry = R3m (160)
size of the total moment = 0.000 μB per formula unit
uncorrected energy = -2.2566 eV/atom

Cell and atoms, written as CIF:
```
data_Ho2Zn16Ru
_symmetry_space_group_name_H-M 'P 1'
_symmetry_Int_Tables_number 1
_symmetry_space_group_name_Hall 'P 1'
_cell_length_a 6.767
_cell_length_b 6.767
_cell_length_c 6.767
_cell_angle_alpha 82.96
_cell_angle_beta 82.96
_cell_angle_gamma 82.96
loop_
_atom_site_label
_atom_site_type_symbol
_atom_site_fract_x
_atom_site_fract_y
_atom_site_fract_z
_atom_site_occupancy
Zn1 Zn 0.647 0.647 0.150 1
Zn2 Zn 0.997 0.286 0.709 1
Zn3 Zn 0.996 0.996 0.506 1
Zn4 Zn 0.358 0.836 0.358 1
Zn5 Zn 0.103 0.103 0.103 1
Zn6 Zn 0.506 0.996 0.996 1
Zn7 Zn 0.997 0.709 0.286 1
Zn8 Zn 0.358 0.358 0.836 1
Zn9 Zn 0.286 0.997 0.709 1
Zn10 Zn 0.996 0.506 0.996 1
Zn11 Zn 0.709 0.997 0.286 1
Zn12 Zn 0.150 0.647 0.647 1
Zn13 Zn 0.286 0.709 0.997 1
Zn14 Zn 0.836 0.358 0.358 1
Zn15 Zn 0.709 0.286 0.997 1
Zn16 Zn 0.647 0.150 0.647 1
Ru1 Ru 0.902 0.902 0.902 1
Ho1 Ho 0.339 0.339 0.339 1
Ho2 Ho 0.678 0.678 0.678 1
```

---

No. 6
The following is a GGA-PBE calculation of a geometry-optimized AlCd3Te2F6 structure, from Alexandria.

Summary:
N(E_F) = 2.79 states/eV per cell
symmetry = C2/m (12)
size of the total moment = 0.000 μB per formula unit
uncorrected energy = -3.9511 eV/atom
raw formation energy = -1951.2 meV/atom

Cell and atoms, written as CIF:
```
data_AlCd3Te2F6
_symmetry_space_group_name_H-M 'P 1'
_symmetry_Int_Tables_number 1
_symmetry_space_group_name_Hall 'P 1'
_cell_length_a 5.872
_cell_length_b 6.405
_cell_length_c 6.881
_cell_angle_alpha 117.75
_cell_angle_beta 89.33
_cell_angle_gamma 90.00
loop_
_atom_site_label
_atom_site_type_symbol
_atom_site_fract_x
_atom_site_fract_y
_atom_site_fract_z
_atom_site_occupancy
Cd1 Cd 0.500 0.500 0.500 1
Cd2 Cd 0.500 0.000 0.500 1
Cd3 Cd 0.000 0.500 0.000 1
F1 F 0.327 0.729 0.873 1
F2 F 0.674 0.873 0.746 1
F3 F 0.327 0.145 0.874 1
F4 F 0.673 0.271 0.127 1
F5 F 0.326 0.127 0.254 1
F6 F 0.673 0.855 0.126 1
Te1 Te 0.906 0.279 0.558 1
Te2 Te 0.094 0.721 0.442 1
Al1 Al 0.500 0.000 0.000 1
```

---

No. 7
The following is a GGA-PBE calculation of a geometry-optimized LiCdO3 structure, from Alexandria.

Summary:
N(E_F) = 5.36 states/eV per cell
symmetry = Pm-3m (221)
size of the total moment = 1.614 μB per formula unit
uncorrected energy = -3.6133 eV/atom
raw formation energy = -72.6 meV/atom

Cell and atoms, written as CIF:
```
data_LiCdO3
_symmetry_space_group_name_H-M 'P 1'
_symmetry_Int_Tables_number 1
_symmetry_space_group_name_Hall 'P 1'
_cell_length_a 4.115
_cell_length_b 4.115
_cell_length_c 4.115
_cell_angle_alpha 90.00
_cell_angle_beta 90.00
_cell_angle_gamma 90.00
loop_
_atom_site_label
_atom_site_type_symbol
_atom_site_fract_x
_atom_site_fract_y
_atom_site_fract_z
_atom_site_occupancy
O1 O 0.500 0.000 0.000 1
O2 O 0.000 0.500 0.000 1
O3 O 0.000 0.000 0.500 1
Li1 Li 0.500 0.500 0.500 1
Cd1 Cd 0.000 0.000 0.000 1
```

---

No. 8
The following is a GGA-PBE calculation of a geometry-optimized LiSc2Ni structure, from Alexandria.

Summary:
N(E_F) = 4.38 states/eV per cell
formation enthalpy at 0 K = -0.029 eV/atom
symmetry = R3m (160)
size of the total moment = 0.000 μB per formula unit
uncorrected energy = -5.1190 eV/atom

Cell and atoms, written as CIF:
```
data_LiSc2Ni
_symmetry_space_group_name_H-M 'P 1'
_symmetry_Int_Tables_number 1
_symmetry_space_group_name_Hall 'P 1'
_cell_length_a 3.640
_cell_length_b 3.640
_cell_length_c 8.043
_cell_angle_alpha 76.92
_cell_angle_beta 76.92
_cell_angle_gamma 60.00
loop_
_atom_site_label
_atom_site_type_symbol
_atom_site_fract_x
_atom_site_fract_y
_atom_site_fract_z
_atom_site_occupancy
Li1 Li 0.502 0.502 0.494 1
Sc1 Sc 0.059 0.059 0.822 1
Sc2 Sc 0.273 0.273 0.181 1
Ni1 Ni 0.666 0.666 0.003 1
```

---

No. 9
The following is a GGA-PBE calculation of a geometry-optimized ZrTiAu structure, from Alexandria.

Summary:
N(E_F) = 13.79 states/eV per cell
formation enthalpy at 0 K = -0.321 eV/atom
symmetry = Amm2 (38)
relative energy among the computed polymorphs = 0.000 eV per atom
size of the total moment = 0.000 μB per formula unit
uncorrected energy = -6.8944 eV/atom

Cell and atoms, written as CIF:
```
data_ZrTiAu
_symmetry_space_group_name_H-M 'P 1'
_symmetry_Int_Tables_number 1
_symmetry_space_group_name_Hall 'P 1'
_cell_length_a 5.470
_cell_length_b 5.470
_cell_length_c 8.806
_cell_angle_alpha 90.00
_cell_angle_beta 90.00
_cell_angle_gamma 119.05
loop_
_atom_site_label
_atom_site_type_symbol
_atom_site_fract_x
_atom_site_fract_y
_atom_site_fract_z
_atom_site_occupancy
Ti1 Ti 0.829 0.651 0.000 1
Ti2 Ti 0.156 0.844 0.500 1
Ti3 Ti 0.823 0.177 0.000 1
Ti4 Ti 0.349 0.171 0.000 1
Au1 Au 0.157 0.356 0.500 1
Au2 Au 0.006 0.994 0.757 1
Au3 Au 0.006 0.994 0.243 1
Au4 Au 0.644 0.843 0.500 1
Zr1 Zr 0.677 0.323 0.690 1
Zr2 Zr 0.338 0.662 0.816 1
Zr3 Zr 0.677 0.323 0.310 1
Zr4 Zr 0.338 0.662 0.184 1
```

---

No. 10
The following is a GGA-PBE calculation of a geometry-optimized Ac2La2Sn structure, from Alexandria.

Summary:
N(E_F) = 6.90 states/eV per cell
formation enthalpy at 0 K = 0.084 eV/atom
symmetry = I4/mmm (139)
size of the total moment = 0.000 μB per formula unit
uncorrected energy = -4.3309 eV/atom

Cell and atoms, written as CIF:
```
data_Ac2La2Sn
_symmetry_space_group_name_H-M 'P 1'
_symmetry_Int_Tables_number 1
_symmetry_space_group_name_Hall 'P 1'
_cell_length_a 4.403
_cell_length_b 4.403
_cell_length_c 10.735
_cell_angle_alpha 101.83
_cell_angle_beta 101.83
_cell_angle_gamma 90.00
loop_
_atom_site_label
_atom_site_type_symbol
_atom_site_fract_x
_atom_site_fract_y
_atom_site_fract_z
_atom_site_occupancy
Ac1 Ac 0.417 0.417 0.833 1
Ac2 Ac 0.583 0.583 0.167 1
La1 La 0.750 0.250 0.500 1
La2 La 0.250 0.750 0.500 1
Sn1 Sn 0.000 0.000 0.000 1
```

---

No. 11
The following is a GGA-PBE calculation of a geometry-optimized Pm3Er2Ru2 structure, from Alexandria.

Summary:
N(E_F) = 5.16 states/eV per cell
formation enthalpy at 0 K = -0.266 eV/atom
symmetry = C2/m (12)
size of the total moment = 0.000 μB per formula unit
uncorrected energy = -6.2555 eV/atom

Cell and atoms, written as CIF:
```
data_Pm3Er2Ru2
_symmetry_space_group_name_H-M 'P 1'
_symmetry_Int_Tables_number 1
_symmetry_space_group_name_Hall 'P 1'
_cell_length_a 3.944
_cell_length_b 6.367
_cell_length_c 8.502
_cell_angle_alpha 111.70
_cell_angle_beta 90.00
_cell_angle_gamma 108.04
loop_
_atom_site_label
_atom_site_type_symbol
_atom_site_fract_x
_atom_site_fract_y
_atom_site_fract_z
_atom_site_occupancy
Ru1 Ru 0.183 0.366 0.219 1
Ru2 Ru 0.817 0.634 0.781 1
Pm1 Pm 0.500 0.000 0.000 1
Pm2 Pm 0.380 0.761 0.570 1
Pm3 Pm 0.620 0.239 0.430 1
Er1 Er 0.830 0.660 0.182 1
Er2 Er 0.170 0.340 0.818 1
```